A plane-wave DFT calculation with PBE was carried out for a geometry-optimized U2GaAu3 structure.

The calculated density comes out at 15.6 g cm⁻³. As for the total magnetic moment: 0.88 μB/atom. The calculation puts the calculated total energy at -74.7 eV for the cell shown. The space group is C2/c.

abc: 5.6812 5.6812 7.7015
angles: 97.91 97.91 94.64
Element x y z (fractional)
U: 0.1299 0.6378 0.8659
U: 0.3622 0.8701 0.6341
U: 0.6378 0.1299 0.3659
U: 0.8701 0.3622 0.1341
Ga: 0.4157 0.5843 0.2500
Ga: 0.5843 0.4157 0.7500
Au: 0.0971 0.9029 0.2500
Au: 0.1845 0.3353 0.4986
Au: 0.3353 0.1845 0.9986
Au: 0.6647 0.8155 0.0014
Au: 0.8155 0.6647 0.5014
Au: 0.9029 0.0971 0.7500